A geometry-optimized LiSiSb2 structure. Source: Alexandria via LeMat-Bulk, functional GGA-PBE.

Magnetic moment (μB per formula unit): 0.000
Raw formation energy (meV/atom): 37
Fermi-level density of states (states/eV/f.u.): 1.25

CIF file:
```
data_LiSiSb2
_chemical_formula_sum 'Li2 Si2 Sb4'
_cell_length_a 5.0707
_cell_length_b 5.1700
_cell_length_c 7.0696
_cell_angle_alpha 90.00
_cell_angle_beta 90.00
_cell_angle_gamma 90.00
_space_group_name_H-M_alt 'C m m 2'
_space_group_IT_number 35
_space_group_name_Hall 'C 2 -2'
loop_
_atom_site_label
_atom_site_type_symbol
_atom_site_fract_x
_atom_site_fract_y
_atom_site_fract_z
_atom_site_occupancy
Li1 Li 0.0000 0.0000 0.0000 1
Si1 Si 0.0000 0.5000 0.7863 1
Sb1 Sb 0.0000 0.0000 0.6150 1
Sb2 Sb 0.0000 0.5000 0.1707 1
```

A geometry-optimized LiSiSb structure. Source: Alexandria via LeMat-Bulk, functional GGA-PBE.

Magnetic moment (μB per formula unit): 0.000
ΔE to the lowest computed polymorph (eV/atom): 0.108
Raw formation energy (meV/atom): 90
Fermi-level density of states (states/eV/f.u.): 1.26

CIF file:
```
data_LiSiSb
_chemical_formula_sum 'Li4 Si4 Sb4'
_cell_length_a 6.2003
_cell_length_b 6.2003
_cell_length_c 6.2003
_cell_angle_alpha 90.00
_cell_angle_beta 90.00
_cell_angle_gamma 90.00
_space_group_name_H-M_alt 'F -4 3 m'
_space_group_IT_number 216
_space_group_name_Hall 'F -4 2 3'
loop_
_atom_site_label
_atom_site_type_symbol
_atom_site_fract_x
_atom_site_fract_y
_atom_site_fract_z
_atom_site_occupancy
Li1 Li 0.0000 0.0000 0.0000 1
Si1 Si 0.2500 0.2500 0.7500 1
Sb1 Sb 0.2500 0.2500 0.2500 1
```

A geometry-optimized LiSiSb4 structure. Source: Alexandria via LeMat-Bulk, functional GGA-PBE.

Magnetic moment (μB per formula unit): 0.001
Raw formation energy (meV/atom): 419
Fermi-level density of states (states/eV/f.u.): 2.91

CIF file:
```
data_LiSiSb4
_chemical_formula_sum 'Li4 Si4 Sb16'
_cell_length_a 8.7571
_cell_length_b 8.7571
_cell_length_c 8.7571
_cell_angle_alpha 90.00
_cell_angle_beta 90.00
_cell_angle_gamma 90.00
_space_group_name_H-M_alt 'F -4 3 m'
_space_group_IT_number 216
_space_group_name_Hall 'F -4 2 3'
loop_
_atom_site_label
_atom_site_type_symbol
_atom_site_fract_x
_atom_site_fract_y
_atom_site_fract_z
_atom_site_occupancy
Li1 Li 0.0000 0.0000 0.0000 1
Si1 Si 0.2500 0.2500 0.2500 1
Sb1 Sb 0.1245 0.1245 0.6245 1
```

A geometry-optimized LiSiSb structure. Source: Alexandria via LeMat-Bulk, functional GGA-PBE.

Magnetic moment (μB per formula unit): 0.000
ΔE to the lowest computed polymorph (eV/atom): 0.083
Raw formation energy (meV/atom): 66
Fermi-level density of states (states/eV/f.u.): 1.09

CIF file:
```
data_LiSiSb
_chemical_formula_sum 'Li2 Si2 Sb2'
_cell_length_a 3.6920
_cell_length_b 3.6920
_cell_length_c 9.2712
_cell_angle_alpha 90.00
_cell_angle_beta 90.00
_cell_angle_gamma 90.00
_space_group_name_H-M_alt 'I 4 m m'
_space_group_IT_number 107
_space_group_name_Hall 'I 4 -2'
loop_
_atom_site_label
_atom_site_type_symbol
_atom_site_fract_x
_atom_site_fract_y
_atom_site_fract_z
_atom_site_occupancy
Li1 Li 0.0000 0.0000 0.0000 1
Si1 Si 0.0000 0.0000 0.3056 1
Sb1 Sb 0.0000 0.0000 0.6926 1
```

A geometry-optimized LiSiSb2 structure. Source: Alexandria via LeMat-Bulk, functional GGA-PBE.

Magnetic moment (μB per formula unit): 0.000
Raw formation energy (meV/atom): 92
Fermi-level density of states (states/eV/f.u.): 1.54

CIF file:
```
data_LiSiSb2
_chemical_formula_sum 'Li1 Si1 Sb2'
_cell_length_a 4.6686
_cell_length_b 4.6686
_cell_length_c 4.0036
_cell_angle_alpha 90.00
_cell_angle_beta 90.00
_cell_angle_gamma 90.00
_space_group_name_H-M_alt 'P 4/m m m'
_space_group_IT_number 123
_space_group_name_Hall '-P 4 2'
loop_
_atom_site_label
_atom_site_type_symbol
_atom_site_fract_x
_atom_site_fract_y
_atom_site_fract_z
_atom_site_occupancy
Li1 Li 0.0000 0.0000 0.0000 1
Si1 Si 0.5000 0.5000 0.0000 1
Sb1 Sb 0.0000 0.5000 0.5000 1
```

A geometry-optimized LiSiSb3 structure. Source: Alexandria via LeMat-Bulk, functional GGA-PBE.

Magnetic moment (μB per formula unit): 0.000
ΔE to the lowest computed polymorph (eV/atom): 0.174
Raw formation energy (meV/atom): 619
Fermi-level density of states (states/eV/f.u.): 2.71

CIF file:
```
data_LiSiSb3
_chemical_formula_sum 'Li1 Si1 Sb3'
_cell_length_a 4.9718
_cell_length_b 4.9718
_cell_length_c 4.9718
_cell_angle_alpha 90.00
_cell_angle_beta 90.00
_cell_angle_gamma 90.00
_space_group_name_H-M_alt 'P m -3 m'
_space_group_IT_number 221
_space_group_name_Hall '-P 4 2 3'
loop_
_atom_site_label
_atom_site_type_symbol
_atom_site_fract_x
_atom_site_fract_y
_atom_site_fract_z
_atom_site_occupancy
Li1 Li 0.0000 0.0000 0.0000 1
Si1 Si 0.5000 0.5000 0.5000 1
Sb1 Sb 0.0000 0.0000 0.5000 1
```

Q: Which value of Fermi-level density of states does entry 3 give?
A: 2.91 states/eV/f.u.